Entry 1:
Entry from the Alexandria database: a relaxed structure of FeNi7H6 (PBE).

Calculated values
E_tot: -0.3622 Ry per atom
N(E_F): 0.732 states/eV/atom
crystal system: trigonal
spin magnetization: 3.701 μB per formula unit
SG: R3, No. 146

a b c (Å): 6.778 6.778 6.778
angles (deg): 38.19 38.19 38.19
Element x y z (fractional)
Fe 0.000 0.000 0.000
Ni 0.109 0.783 0.445
Ni 0.220 0.559 0.886
Ni 0.334 0.334 0.334
Ni 0.445 0.109 0.783
Ni 0.559 0.886 0.220
Ni 0.783 0.445 0.109
Ni 0.886 0.220 0.559
H 0.066 0.401 0.719
H 0.280 0.942 0.594
H 0.401 0.719 0.066
H 0.594 0.280 0.942
H 0.719 0.066 0.401
H 0.942 0.594 0.280


Entry 2:
Entry from the Alexandria database: a relaxed structure of FeNi2H3 (PBE).

Calculated values
energy above the lowest structure with this stoichiometry: 0.010 eV/atom
N(E_F): 0.597 states/eV/atom
crystal system: orthorhombic
spin magnetization: 3.000 μB per formula unit
SG: Immm, No. 71

a b c (Å): 2.646 3.781 7.886
angles (deg): 90.00 90.00 90.00
Element x y z (fractional)
Fe 0.000 0.000 0.000
Fe 0.500 0.500 0.500
Ni 0.000 0.000 0.334
Ni 0.000 0.000 0.666
Ni 0.500 0.500 0.166
Ni 0.500 0.500 0.834
H 0.000 0.500 0.000
H 0.000 0.500 0.331
H 0.000 0.500 0.669
H 0.500 0.000 0.169
H 0.500 0.000 0.500
H 0.500 0.000 0.831


Entry 3:
Entry from the Alexandria database: a relaxed structure of Fe2NiH (PBE).

Calculated values
energy above the lowest structure with this stoichiometry: 0.150 eV/atom
N(E_F): 0.660 states/eV/atom
crystal system: orthorhombic
spin magnetization: 5.287 μB per formula unit
SG: Immm, No. 71

a b c (Å): 2.482 4.330 6.931
angles (deg): 90.00 90.00 90.00
Element x y z (fractional)
Fe 0.000 0.000 0.185
Fe 0.000 0.000 0.815
Fe 0.500 0.500 0.315
Fe 0.500 0.500 0.685
Ni 0.000 0.500 0.000
Ni 0.500 0.000 0.500
H 0.000 0.500 0.500
H 0.500 0.000 0.000


Entry 4:
Entry from the Alexandria database: a relaxed structure of FeNiH (PBE).

Calculated values
E_tot: -0.4333 Ry per atom
N(E_F): 0.563 states/eV/atom
crystal system: monoclinic
spin magnetization: 2.892 μB per formula unit
SG: C2/m, No. 12

a b c (Å): 9.569 2.550 4.528
angles (deg): 90.00 117.70 90.00
Element x y z (fractional)
Fe 0.119 0.000 0.453
Fe 0.381 0.500 0.547
Fe 0.619 0.500 0.453
Fe 0.881 0.000 0.547
Ni 0.119 0.500 0.953
Ni 0.381 0.000 0.047
Ni 0.619 0.000 0.953
Ni 0.881 0.500 0.047
H 0.249 0.000 0.242
H 0.251 0.500 0.758
H 0.749 0.500 0.242
H 0.751 0.000 0.758